Here is an optimized crystal structure of CdHgW2 from the Alexandria database. Energies are from PBE-GGA. Values from VASP.

Calculated values
Formation energy from the elements in kJ per mole of atoms: 60.3
Crystal system: tetragonal
Total DFT energy (no corrections) in eV/atom: -6.16
Energy above the lowest structure with this stoichiometry in eV/f.u.: 0.78
Total magnetic moment in μB/cell: 0.0

Structure (Quantum ESPRESSO input):
```
&SYSTEM
  ibrav = 0, nat = 4, ntyp = 3
/
ATOMIC_SPECIES
Cd 112.41 Cd.upf
Hg 200.59 Hg.upf
W 183.84 W.upf
CELL_PARAMETERS angstrom
2.790 0.000 0.000
0.000 2.790 0.000
0.000 0.000 9.498
ATOMIC_POSITIONS crystal
Cd 0.000 0.000 0.000
Hg 0.500 0.500 0.277
W 0.000 0.000 0.523
W 0.500 0.500 0.758
```